Computed, not measured: LiCrFeO4 after structural relaxation at the PBE with a Hubbard U level of DFT.

Unit cell a=5.9101 b=5.9690 c=8.3935 alpha=90.00 beta=90.00 gamma=90.00
Space group Imma (No. 74)
One atom of each set of equivalent atoms:
Li 0.0000 0.2500 0.1200 x4
Cr 0.2500 0.2500 0.7500 x4
Fe 0.0000 0.0000 0.5000 x4
O 0.0000 0.0296 0.7436 x8
O 0.2311 0.2500 0.5200 x8

Results
Fermi-level density of states   0.118 states/eV per cell
Calculated total energy   -6.66 eV per atom
Offset from the most stable computed form   0 meV per atom
Theoretical density   4.01 g/cm³